1.
# V3GaIr (PBE, relaxed)
data_V3GaIr
_chemical_formula_sum 'V6 Ga2 Ir2'
_space_group_name_H-M_alt 'P 1'
_space_group_IT_number 1
_cell_length_a 4.979
_cell_length_b 5.074
_cell_length_c 6.540
_cell_angle_alpha 79.74
_cell_angle_beta 69.54
_cell_angle_gamma 63.07
loop_
_space_group_symop_operation_xyz
'x,y,z'
loop_
_atom_site_label
_atom_site_fract_x
_atom_site_fract_y
_atom_site_fract_z
V1 0.000 0.000 0.000
V2 0.003 0.392 0.182
V3 0.009 0.608 0.788
V4 0.490 0.690 0.597
V5 0.498 0.311 0.387
V6 0.975 0.798 0.394
Ga1 0.498 0.881 0.201
Ga2 0.501 0.104 0.786
Ir1 0.007 0.202 0.584
Ir2 0.506 0.493 0.991
# ΔE to the lowest computed polymorph ... 0 meV/atom
# Crystal system ... triclinic
# Calculated formation energy ... -0.287 eV per atom
# DOS at the Fermi energy ... 0.93 states/eV/atom

---

2.
# VGaIr (PBE, relaxed)
data_VGaIr
_chemical_formula_sum 'V4 Ga4 Ir4'
_space_group_name_H-M_alt 'C 1 m 1'
_space_group_IT_number 8
_cell_length_a 7.322
_cell_length_b 4.308
_cell_length_c 7.057
_cell_angle_alpha 90.00
_cell_angle_beta 120.12
_cell_angle_gamma 90.00
loop_
_space_group_symop_operation_xyz
'x,y,z'
'x,-y,z'
'x+1/2,y+1/2,z'
'x+1/2,-y+1/2,z'
loop_
_atom_site_label
_atom_site_fract_x
_atom_site_fract_y
_atom_site_fract_z
V1 0.000 0.000 0.000
V2 0.095 0.000 0.500
Ga1 0.054 0.500 0.767
Ga2 0.153 0.500 0.275
Ir1 0.285 0.000 0.905
Ir2 0.350 0.000 0.351
# Crystal system ... monoclinic
# Calculated formation energy ... -0.377 eV per atom
# DOS at the Fermi energy ... 0.11 states/eV/atom

---

no.,E_tot (eV/atom),magnetization (μB/f.u.)
1,-8.14,0.00
2,-7.38,0.00